No. 1
Entry from Alexandria via LeMat-Bulk: CsTcIr3 after structural relaxation (PBE).

POSCAR file:
```
CsTcIr3
1.0
-0.0524 -2.9468 -3.8851
0.4796 -3.8696 2.9286
-4.8526 -0.3506 0.3314
Cs Ir Tc
1 3 1
Cartesian
0.0000 0.0000 0.0000
0.2398 -1.9348 1.4643
-2.4263 -0.1753 0.1657
-0.0262 -1.4734 -1.9425
-2.2127 -3.5835 -0.3125
```

## Properties
Fermi-level density of states (states/eV/atom): 2.554
DFT formation energy (meV per atom): 3632.0
Offset from the most stable computed form (meV per atom): 2176


No. 2
Entry from Alexandria via LeMat-Bulk: Cs3TcIr after structural relaxation (PBE).

POSCAR file:
```
Cs3TcIr
1.0
5.7769 0.0000 0.0000
0.0000 5.7769 0.0000
0.0000 0.0000 5.7769
Cs Ir Tc
3 1 1
Cartesian
0.0000 2.8884 0.0000
0.0000 0.0000 2.8884
2.8884 0.0000 0.0000
2.8884 2.8884 2.8884
0.0000 0.0000 0.0000
```

## Properties
Fermi-level density of states (states/eV/atom): 2.858
DFT formation energy (meV per atom): 1843.1


No. 3
Entry from Alexandria via LeMat-Bulk: Cs2TcIr after structural relaxation (PBE).

POSCAR file:
```
Cs2TcIr
1.0
-0.7970 2.3642 5.0925
-3.4205 4.4911 0.5371
-4.9972 -0.5398 2.6259
Cs Ir Tc
2 1 1
Cartesian
-2.3037 1.5789 2.0639
-6.9111 4.7367 6.1917
-4.6074 3.1578 4.1278
0.0000 0.0000 0.0000
```

## Properties
Fermi-level density of states (states/eV/atom): 1.297
DFT formation energy (meV per atom): 2052.6


No. 4
Entry from Alexandria via LeMat-Bulk: CsTc3Ir after structural relaxation (PBE).

POSCAR file:
```
CsTc3Ir
1.0
-4.5670 1.2924 0.3821
-1.1902 -4.5012 0.9986
0.6322 0.8622 4.6401
Cs Ir Tc
1 1 3
Cartesian
0.0000 0.0000 0.0000
-2.5625 -1.1733 3.0104
-0.5951 -2.2506 0.4993
0.3161 0.4311 2.3201
-2.2835 0.6462 0.1911
```

## Properties
Fermi-level density of states (states/eV/atom): 1.482
DFT formation energy (meV per atom): 3487.7